Entry 1:
The following is a DFT calculation (PBE) of crystalline Cd4In7Pb at its relaxed geometry. Values from VASP.

Cell and atoms, written as Quantum ESPRESSO input:
```
&SYSTEM
  ibrav = 0, nat = 12, ntyp = 3
/
ATOMIC_SPECIES
In 114.82 In.upf
Pb 207.20 Pb.upf
Cd 112.41 Cd.upf
CELL_PARAMETERS angstrom
3.351 0.000 0.000
-1.676 2.902 0.000
0.000 0.000 32.205
ATOMIC_POSITIONS crystal
In 0.667 0.333 0.837
In 0.000 0.000 0.752
In 0.333 0.667 0.410
In 0.000 0.000 0.000
In 0.333 0.667 0.163
In 0.000 0.000 0.248
In 0.667 0.333 0.590
Pb 0.000 0.000 0.500
Cd 0.333 0.667 0.671
Cd 0.667 0.333 0.081
Cd 0.333 0.667 0.919
Cd 0.667 0.333 0.329
```

## Properties
The symmetry is No. 164.

=====

Entry 2:
The following is a DFT calculation (PBE) of crystalline LiCaAc2O5 at its relaxed geometry. Values from VASP.

Cell and atoms, written as Quantum ESPRESSO input:
```
&SYSTEM
  ibrav = 0, nat = 18, ntyp = 4
/
ATOMIC_SPECIES
O 16.00 O.upf
Ca 40.08 Ca.upf
Li 6.94 Li.upf
Ac 227.00 Ac.upf
CELL_PARAMETERS angstrom
7.098 0.000 0.000
0.000 7.098 0.000
-3.549 -3.549 5.456
ATOMIC_POSITIONS crystal
O 0.787 0.993 0.280
O 0.507 0.713 0.720
O 0.287 0.787 0.280
O 0.500 0.500 0.000
O 0.007 0.507 0.720
O 0.493 0.287 0.280
O 0.713 0.213 0.720
O 0.213 0.007 0.720
O 0.000 0.000 0.000
O 0.993 0.493 0.280
Ca 0.750 0.750 0.500
Ca 0.250 0.250 0.500
Li 0.750 0.250 0.500
Li 0.250 0.750 0.500
Ac 0.668 0.168 0.000
Ac 0.832 0.668 0.000
Ac 0.168 0.332 0.000
Ac 0.332 0.832 0.000
```

## Properties
The energy relative to the elements, uncorrected is -2561 meV/atom. The symmetry is No. 140.

=====

Entry 3:
The following is a DFT calculation (PBE) of crystalline TaInNiC at its relaxed geometry. Values from VASP.

Cell and atoms, written as Quantum ESPRESSO input:
```
&SYSTEM
  ibrav = 0, nat = 8, ntyp = 4
/
ATOMIC_SPECIES
Ni 58.69 Ni.upf
In 114.82 In.upf
C 12.01 C.upf
Ta 180.95 Ta.upf
CELL_PARAMETERS angstrom
-2.507 1.129 1.478
-0.943 -2.816 0.552
6.257 -0.011 10.621
ATOMIC_POSITIONS crystal
Ni 0.000 0.000 0.851
Ni 0.000 0.500 0.351
In 0.500 0.500 0.722
In 0.500 0.000 0.222
C 0.000 0.500 0.511
C 0.000 0.000 0.011
Ta 0.500 0.000 0.498
Ta 0.500 0.500 0.998
```

## Properties
The calculation puts the offset from the most stable computed form at 0 meV/atom. The symmetry is No. 38.

=====

Entry 4:
The following is a DFT calculation (PBE) of crystalline Li2Mg2Sn at its relaxed geometry. Values from VASP.

Cell and atoms, written as Quantum ESPRESSO input:
```
&SYSTEM
  ibrav = 0, nat = 10, ntyp = 3
/
ATOMIC_SPECIES
Li 6.94 Li.upf
Sn 118.71 Sn.upf
Mg 24.30 Mg.upf
CELL_PARAMETERS angstrom
-6.290 -0.778 2.696
1.007 -6.803 0.385
1.634 0.466 3.948
ATOMIC_POSITIONS crystal
Li 0.365 0.865 0.000
Li 0.635 0.135 0.000
Li 0.865 0.635 0.000
Li 0.135 0.365 0.000
Sn 0.500 0.500 0.000
Sn 0.000 0.000 0.000
Mg 0.830 0.330 0.500
Mg 0.170 0.670 0.500
Mg 0.670 0.830 0.500
Mg 0.330 0.170 0.500
```

## Properties
The calculation puts the offset from the most stable computed form at 0 meV/atom. The symmetry is No. 127.

=====

Entry 5:
The following is a DFT calculation (PBE) of crystalline RbSrMg2 at its relaxed geometry. Values from VASP.

Cell and atoms, written as Quantum ESPRESSO input:
```
&SYSTEM
  ibrav = 0, nat = 8, ntyp = 3
/
ATOMIC_SPECIES
Rb 85.47 Rb.upf
Mg 24.30 Mg.upf
Sr 87.62 Sr.upf
CELL_PARAMETERS angstrom
9.814 0.000 0.000
0.000 9.814 0.000
4.907 4.907 3.771
ATOMIC_POSITIONS crystal
Rb 0.250 0.750 0.500
Rb 0.500 0.500 0.000
Mg 0.636 0.125 0.250
Mg 0.114 0.625 0.250
Mg 0.875 0.886 0.750
Mg 0.375 0.364 0.750
Sr 0.750 0.250 0.500
Sr 0.000 0.000 0.000
```

## Properties
The calculation puts the offset from the most stable computed form at 166 meV/atom. The symmetry is No. 122.

=====

Entry 6:
The following is a DFT calculation (PBE) of crystalline Sm5Ho3Tm2 at its relaxed geometry. Values from VASP.

Cell and atoms, written as Quantum ESPRESSO input:
```
&SYSTEM
  ibrav = 0, nat = 20, ntyp = 3
/
ATOMIC_SPECIES
Tm 168.93 Tm.upf
Sm 150.36 Sm.upf
Ho 164.93 Ho.upf
CELL_PARAMETERS angstrom
8.568 1.879 -4.115
0.418 8.763 -4.161
-1.990 -2.313 10.724
ATOMIC_POSITIONS crystal
Tm 0.489 0.725 0.763
Tm 0.226 0.962 0.237
Tm 0.511 0.275 0.237
Tm 0.774 0.038 0.763
Sm 0.482 0.732 0.464
Sm 0.978 0.228 0.457
Sm 0.897 0.651 0.770
Sm 0.627 0.881 0.230
Sm 0.724 0.474 0.948
Sm 0.373 0.119 0.770
Sm 0.276 0.526 0.052
Sm 0.518 0.268 0.536
Sm 0.103 0.349 0.230
Sm 0.022 0.772 0.543
Ho 0.717 0.479 0.247
Ho 0.283 0.521 0.753
Ho 0.970 0.233 0.753
Ho 0.219 0.969 0.939
Ho 0.781 0.031 0.061
Ho 0.030 0.767 0.247
```

## Properties
The symmetry is No. 15.

=====

Which magnetization belongs to each record? In order, 0.0, 2.1, 0.0, 0.0, 0.0, 0.0 Bohr magnetons per cell.
Which electronic total energy belongs to each record? In order, -2.18, -6.66, -7.49, -2.33, -1.09, -4.44 eV/atom.